# 1
# LiDyZnIr

Crystalline LiDyZnIr at its relaxed geometry (GGA-PBE, Alexandria).

Summary:
Energy of formation from the pure elements, kJ/mol of atoms: -42
Total DFT energy (no corrections), eV per atom: -4.594
D(E_F), states/eV/f.u.: 1.96
Size of the total moment, μB per formula unit: 0.00

a b c (Å): 4.632 4.632 4.632
angles (deg): 60.00 60.00 60.00
Positions (direct):
1 Li 0.000 0.000 0.000
2 Dy 0.750 0.750 0.750
3 Zn 0.250 0.250 0.250
4 Ir 0.500 0.500 0.500

---

# 2
# LiDyZrIr

Crystalline LiDyZrIr at its relaxed geometry (GGA-PBE, Alexandria).

Summary:
Energy of formation from the pure elements, kJ/mol of atoms: -46
Total DFT energy (no corrections), eV per atom: -6.454
D(E_F), states/eV/f.u.: 3.64
Size of the total moment, μB per formula unit: 0.00

a b c (Å): 4.792 4.792 4.792
angles (deg): 60.00 60.00 60.00
Positions (direct):
1 Li 0.000 0.000 0.000
2 Dy 0.750 0.750 0.750
3 Zr 0.250 0.250 0.250
4 Ir 0.500 0.500 0.500

---

# 3
# DyLuIr

Crystalline DyLuIr at its relaxed geometry (GGA-PBE, Alexandria).

Summary:
Energy of formation from the pure elements, kJ/mol of atoms: -72
Total DFT energy (no corrections), eV per atom: -6.740
D(E_F), states/eV/f.u.: 2.73
Size of the total moment, μB per formula unit: 0.00

a b c (Å): 4.757 4.757 4.757
angles (deg): 60.00 60.00 60.00
Positions (direct):
1 Dy 0.000 0.000 0.000
2 Lu 0.500 0.500 0.500
3 Ir 0.250 0.250 0.250

---

# 4
# DyLuIr2

Crystalline DyLuIr2 at its relaxed geometry (GGA-PBE, Alexandria).

Summary:
Energy of formation from the pure elements, kJ/mol of atoms: -86
Total DFT energy (no corrections), eV per atom: -7.598
D(E_F), states/eV/f.u.: 0.96
Size of the total moment, μB per formula unit: 0.00

a b c (Å): 4.680 4.680 3.553
angles (deg): 90.00 90.00 90.00
Positions (direct):
1 Dy 0.000 0.000 0.000
2 Lu 0.500 0.500 0.000
3 Ir 0.000 0.500 0.500
4 Ir 0.500 0.000 0.500

---

# 5
# DyLu3Ir

Crystalline DyLu3Ir at its relaxed geometry (GGA-PBE, Alexandria).

Summary:
Energy of formation from the pure elements, kJ/mol of atoms: -30
Total DFT energy (no corrections), eV per atom: -5.715
D(E_F), states/eV/f.u.: 6.15
Size of the total moment, μB per formula unit: 0.00

a b c (Å): 5.318 5.318 5.318
angles (deg): 90.00 90.00 90.00
Positions (direct):
1 Dy 0.000 0.000 0.000
2 Lu 0.000 0.500 0.500
3 Lu 0.500 0.000 0.500
4 Lu 0.500 0.500 0.000
5 Ir 0.500 0.500 0.500

---

# 6
# DyLuIr2

Crystalline DyLuIr2 at its relaxed geometry (GGA-PBE, Alexandria).

Summary:
Energy of formation from the pure elements, kJ/mol of atoms: -85
Total DFT energy (no corrections), eV per atom: -7.591
D(E_F), states/eV/f.u.: 2.69
Size of the total moment, μB per formula unit: 0.00

a b c (Å): 4.796 4.796 4.796
angles (deg): 60.00 60.00 60.00
Positions (direct):
1 Dy 0.000 0.000 0.000
2 Lu 0.500 0.500 0.500
3 Ir 0.250 0.250 0.250
4 Ir 0.750 0.750 0.750

---

# 7
# DyLuIr

Crystalline DyLuIr at its relaxed geometry (GGA-PBE, Alexandria).

Summary:
Energy of formation from the pure elements, kJ/mol of atoms: -60
Total DFT energy (no corrections), eV per atom: -6.613
D(E_F), states/eV/f.u.: 3.35
Size of the total moment, μB per formula unit: 0.00

a b c (Å): 6.733 6.733 6.733
angles (deg): 150.54 150.54 42.16
Positions (direct):
1 Dy 0.000 0.000 0.000
2 Lu 0.742 0.742 0.000
3 Ir 0.367 0.367 0.000

---

# 8
# DyLuMgIr

Crystalline DyLuMgIr at its relaxed geometry (GGA-PBE, Alexandria).

Summary:
Energy of formation from the pure elements, kJ/mol of atoms: -47
Total DFT energy (no corrections), eV per atom: -5.385
D(E_F), states/eV/f.u.: 2.05
Size of the total moment, μB per formula unit: 0.00

a b c (Å): 4.972 4.972 4.972
angles (deg): 60.00 60.00 60.00
Positions (direct):
1 Dy 0.000 0.000 0.000
2 Lu 0.500 0.500 0.500
3 Mg 0.250 0.250 0.250
4 Ir 0.750 0.750 0.750

---

# 9
# DyLuNiIr

Crystalline DyLuNiIr at its relaxed geometry (GGA-PBE, Alexandria).

Summary:
Energy of formation from the pure elements, kJ/mol of atoms: -68
Total DFT energy (no corrections), eV per atom: -6.645
D(E_F), states/eV/f.u.: 1.82
Size of the total moment, μB per formula unit: 0.00

a b c (Å): 4.767 4.767 4.767
angles (deg): 60.00 60.00 60.00
Positions (direct):
1 Dy 0.000 0.000 0.000
2 Lu 0.500 0.500 0.500
3 Ni 0.750 0.750 0.750
4 Ir 0.250 0.250 0.250

---

# 10
# DyLuIrOs

Crystalline DyLuIrOs at its relaxed geometry (GGA-PBE, Alexandria).

Summary:
Energy of formation from the pure elements, kJ/mol of atoms: -50
Total DFT energy (no corrections), eV per atom: -7.825
D(E_F), states/eV/f.u.: 1.27
Size of the total moment, μB per formula unit: 0.00

a b c (Å): 4.776 4.776 4.776
angles (deg): 60.00 60.00 60.00
Positions (direct):
1 Dy 0.000 0.000 0.000
2 Lu 0.500 0.500 0.500
3 Ir 0.750 0.750 0.750
4 Os 0.250 0.250 0.250

---

# 11
# DyLuIrPd

Crystalline DyLuIrPd at its relaxed geometry (GGA-PBE, Alexandria).

Summary:
Energy of formation from the pure elements, kJ/mol of atoms: -92
Total DFT energy (no corrections), eV per atom: -6.750
D(E_F), states/eV/f.u.: 1.05
Size of the total moment, μB per formula unit: 0.00

a b c (Å): 4.846 4.846 4.846
angles (deg): 60.00 60.00 60.00
Positions (direct):
1 Dy 0.000 0.000 0.000
2 Lu 0.500 0.500 0.500
3 Ir 0.250 0.250 0.250
4 Pd 0.750 0.750 0.750

---

# 12
# DyLuIrRh

Crystalline DyLuIrRh at its relaxed geometry (GGA-PBE, Alexandria).

Summary:
Energy of formation from the pure elements, kJ/mol of atoms: -90
Total DFT energy (no corrections), eV per atom: -7.270
D(E_F), states/eV/f.u.: 1.58
Size of the total moment, μB per formula unit: 0.00

a b c (Å): 4.793 4.793 4.793
angles (deg): 60.00 60.00 60.00
Positions (direct):
1 Dy 0.000 0.000 0.000
2 Lu 0.500 0.500 0.500
3 Ir 0.750 0.750 0.750
4 Rh 0.250 0.250 0.250

---

# 13
# DyLuSnIr

Crystalline DyLuSnIr at its relaxed geometry (GGA-PBE, Alexandria).

Summary:
Energy of formation from the pure elements, kJ/mol of atoms: -60
Total DFT energy (no corrections), eV per atom: -6.120
D(E_F), states/eV/f.u.: 3.07
Size of the total moment, μB per formula unit: 0.00

a b c (Å): 5.034 5.034 5.034
angles (deg): 60.00 60.00 60.00
Positions (direct):
1 Dy 0.000 0.000 0.000
2 Lu 0.500 0.500 0.500
3 Sn 0.250 0.250 0.250
4 Ir 0.750 0.750 0.750

---

# 14
# Dy2MgIr

Crystalline Dy2MgIr at its relaxed geometry (GGA-PBE, Alexandria).

Summary:
Energy of formation from the pure elements, kJ/mol of atoms: -50
Total DFT energy (no corrections), eV per atom: -5.433
D(E_F), states/eV/f.u.: 2.12
Size of the total moment, μB per formula unit: 0.00

a b c (Å): 7.438 7.438 7.284
angles (deg): 90.00 90.00 148.65
Positions (direct):
1 Dy 0.146 0.854 0.505
2 Dy 0.146 0.854 0.995
3 Dy 0.854 0.146 0.005
4 Dy 0.854 0.146 0.495
5 Mg 0.492 0.508 0.250
6 Mg 0.508 0.492 0.750
7 Ir 0.300 0.700 0.250
8 Ir 0.700 0.300 0.750

---

# 15
# Dy2MgIr2

Crystalline Dy2MgIr2 at its relaxed geometry (GGA-PBE, Alexandria).

Summary:
Energy of formation from the pure elements, kJ/mol of atoms: -71
Total DFT energy (no corrections), eV per atom: -6.439
D(E_F), states/eV/f.u.: 1.66
Size of the total moment, μB per formula unit: 0.00

a b c (Å): 5.784 5.784 8.109
angles (deg): 106.01 106.01 56.02
Positions (direct):
1 Dy 0.008 0.700 0.853
2 Dy 0.300 0.992 0.647
3 Dy 0.700 0.008 0.353
4 Dy 0.992 0.300 0.147
5 Mg 0.362 0.638 0.250
6 Mg 0.638 0.362 0.750
7 Ir 0.207 0.515 0.484
8 Ir 0.485 0.793 0.016
9 Ir 0.515 0.207 0.984
10 Ir 0.793 0.485 0.516

---

# 16
# DyMgIr

Crystalline DyMgIr at its relaxed geometry (GGA-PBE, Alexandria).

Summary:
Energy of formation from the pure elements, kJ/mol of atoms: -67
Total DFT energy (no corrections), eV per atom: -5.711
D(E_F), states/eV/f.u.: 0.88
Size of the total moment, μB per formula unit: 0.00

a b c (Å): 7.079 4.101 8.530
angles (deg): 90.00 90.00 90.00
Positions (direct):
1 Dy 0.040 0.250 0.174
2 Dy 0.460 0.750 0.674
3 Dy 0.540 0.250 0.326
4 Dy 0.960 0.750 0.826
5 Mg 0.135 0.250 0.559
6 Mg 0.365 0.750 0.059
7 Mg 0.635 0.250 0.941
8 Mg 0.865 0.750 0.441
9 Ir 0.250 0.250 0.869
10 Ir 0.250 0.750 0.369
11 Ir 0.750 0.250 0.631
12 Ir 0.750 0.750 0.131

---

# 17
# Dy2MgIr

Crystalline Dy2MgIr at its relaxed geometry (GGA-PBE, Alexandria).

Summary:
Energy of formation from the pure elements, kJ/mol of atoms: -48
Total DFT energy (no corrections), eV per atom: -5.412
D(E_F), states/eV/f.u.: 1.63
Size of the total moment, μB per formula unit: 0.00

a b c (Å): 3.545 3.545 7.607
angles (deg): 90.00 90.00 90.00
Positions (direct):
1 Dy 0.000 0.000 0.210
2 Dy 0.000 0.000 0.790
3 Mg 0.500 0.500 0.500
4 Ir 0.500 0.500 0.000

---

# 18
# Dy6MgIr

Crystalline Dy6MgIr at its relaxed geometry (GGA-PBE, Alexandria).

Summary:
Energy of formation from the pure elements, kJ/mol of atoms: -1
Total DFT energy (no corrections), eV per atom: -4.765
D(E_F), states/eV/f.u.: 10.88
Size of the total moment, μB per formula unit: 0.00

a b c (Å): 6.918 6.931 7.415
angles (deg): 90.17 117.64 119.89
Positions (direct):
1 Dy 0.046 0.078 0.252
2 Dy 0.284 0.706 0.252
3 Dy 0.324 0.531 0.748
4 Dy 0.676 0.469 0.252
5 Dy 0.716 0.294 0.748
6 Dy 0.954 0.922 0.748
7 Mg 0.500 0.000 0.000
8 Ir 0.500 0.500 0.500

---

# 19
# Dy2MgIr

Crystalline Dy2MgIr at its relaxed geometry (GGA-PBE, Alexandria).

Summary:
Energy of formation from the pure elements, kJ/mol of atoms: -44
Total DFT energy (no corrections), eV per atom: -5.370
D(E_F), states/eV/f.u.: 2.26
Size of the total moment, μB per formula unit: 0.00

a b c (Å): 5.025 5.025 5.025
angles (deg): 60.00 60.00 60.00
Positions (direct):
1 Dy 0.250 0.250 0.250
2 Dy 0.750 0.750 0.750
3 Mg 0.000 0.000 0.000
4 Ir 0.500 0.500 0.500

---

# 20
# Dy2MgIr

Crystalline Dy2MgIr at its relaxed geometry (GGA-PBE, Alexandria).

Summary:
Energy of formation from the pure elements, kJ/mol of atoms: -20
Total DFT energy (no corrections), eV per atom: -5.121
D(E_F), states/eV/f.u.: 2.59
Size of the total moment, μB per formula unit: 0.00

a b c (Å): 10.170 10.170 10.170
angles (deg): 22.47 22.47 22.47
Positions (direct):
1 Dy 0.117 0.117 0.117
2 Dy 0.883 0.883 0.883
3 Mg 0.000 0.000 0.000
4 Ir 0.500 0.500 0.500